## CrBrO3 (PBE with a Hubbard U)

Data for an optimized crystal structure of CrBrO3.

The density of states at the Fermi level comes out at 0.925 states/eV per atom. For the total magnetization, the calculation gives 0.00 μB/atom. The total energy is -24.5 eV for the cell shown.

The structure belongs to space group Pm-3m (No. 221); the cell edges are 3.7742, 3.7742 and 3.7742 Å and the angles 90.00°, 90.00° and 90.00°. The asymmetric unit holds Cr at (0.0000, 0.0000, 0.0000), Br at (0.5000, 0.5000, 0.5000) and O at (0.0000, 0.0000, 0.5000).